A plane-wave DFT calculation with PBE was carried out for crystalline ZrTc2Se at its relaxed geometry.

Cell and atoms, written as extended XYZ:
```
4
Lattice="1.6402 -2.5278 0.0000 1.6402 2.5278 0.0000 0.0000 0.0000 8.3443" Properties=species:S:1:pos:R:3 pbc="T T T"
Zr 0.0000 0.0000 0.0000
Tc 1.6402 0.0000 2.1743
Tc 1.6402 0.0000 6.1700
Se 0.0000 0.0000 4.1722
```

## Properties
The value obtained for the volume is 17.30 A^3/atom. For the uncorrected formation energy, the calculation gives 283 meV per atom. As for the space group: Cmmm (65).